A plane-wave DFT calculation with GGA-PBE was carried out for PrSm3Ho2P6 after structural relaxation.

It has space group C2/m (No. 12), with a = 7.0762 Å, b = 12.2552 Å, c = 7.0767 Å, α = 90.00°, β = 109.47° and γ = 90.00°. The distinct sites, in fractional coordinates, are Pr at (0.0000, 0.0000, 0.0000), Sm at (0.0000, 0.1655, 0.5000), Sm at (0.0000, 0.5000, 0.5000), Ho at (0.0000, 0.3330, 0.0000), P at (0.2418, 0.5000, 0.2464) and P at (0.2474, 0.3299, 0.7527).

For the density of states at the Fermi level, the calculation gives 3.0 states/eV/cell. The calculation puts the total energy at -6.612 eV/atom. The value obtained for the density is 6.36 g cm⁻³.